Compound: DyThSc5
Source: Alexandria via LeMat-Bulk
Functional: PBE
Structure: relaxed

volume: 26.89 Å³/atom
mass density: 5.46 Mg/m³
E_tot: -6.14 eV/atom

Lattice parameters (Å, degrees): 6.1464 6.1464 10.6728 103.21 103.21 96.35
Positions (direct):
Dy (0.0000, 0.5000, 0.0000)
Dy (0.5000, 0.0000, 0.5000)
Th (0.2407, 0.7593, 0.7500)
Th (0.7593, 0.2407, 0.2500)
Sc (0.0478, 0.1979, 0.6625)
Sc (0.1979, 0.0478, 0.1625)
Sc (0.2318, 0.4259, 0.4637)
Sc (0.4131, 0.5869, 0.2500)
Sc (0.4259, 0.2318, 0.9637)
Sc (0.5741, 0.7682, 0.0363)
Sc (0.5869, 0.4131, 0.7500)
Sc (0.7682, 0.5741, 0.5363)
Sc (0.8021, 0.9522, 0.8375)
Sc (0.9522, 0.8021, 0.3375)